CsAlFeF6: optimized geometry, PBE+U.

a = 5.3694 Å, b = 9.3142 Å, c = 6.4469 Å
α = 90.00°, β = 90.00°, γ = 90.00°
Closest atoms and distances in Å follow each position.
Space group C2 (No. 5)
Asymmetric unit:
Cs1 0.0000 0.0000 0.0000 x2  6 F 3.00
Al1 0.0000 0.3335 0.5000 x2  6 F 1.84
Fe1 0.0000 0.6669 0.5000 x2  6 F 2.10-2.12
F1 0.1153 0.4822 0.6624 x4  1 Al 1.84
F2 0.1628 0.2021 0.6637 x4  1 Al 1.84
F3 0.2179 0.8179 0.6613 x4  1 Al 1.84

- Volume: 17.91 A^3/atom
- E_tot: -5.459 eV/atom